Below is a relaxed structure of PmNbAlO6, with properties calculated at the PBE level.

Structure (POSCAR):
```
PmNbAlO6
1.0
5.184 0.000 0.000
-2.592 4.490 0.000
0.000 0.000 10.054
Pm Nb Al O
2 2 2 12
Direct
0.000 0.000 0.000
0.000 0.000 0.500
0.333 0.667 0.250
0.667 0.333 0.750
0.333 0.667 0.750
0.667 0.333 0.250
0.013 0.374 0.643
0.013 0.640 0.857
0.360 0.374 0.857
0.360 0.987 0.643
0.374 0.013 0.143
0.374 0.360 0.357
0.626 0.640 0.643
0.626 0.987 0.857
0.640 0.013 0.357
0.640 0.626 0.143
0.987 0.360 0.143
0.987 0.626 0.357
```

Values from the calculation:
Density of states at the Fermi level ... 6.1 states/eV/f.u.
M_tot ... 1.1 μB/f.u.
E_form (uncorrected) ... -2.68 eV/atom